(1)
Nd2SmHoPt2 | PBE | relaxed

Cell: 6.848 6.851 8.633 Å, 113.38 113.37 90.00°
Fractional coordinates of all 12 atoms:
Nd1 0.308 0.097 0.617
Nd2 0.808 0.520 0.617
Nd3 0.692 0.903 0.383
Nd4 0.192 0.480 0.383
Pt1 0.889 0.155 0.777
Pt2 0.611 0.378 0.223
Pt3 0.389 0.622 0.777
Pt4 0.111 0.845 0.223
Ho1 0.750 0.500 0.000
Ho2 0.250 0.500 0.000
Sm1 0.750 0.000 0.000
Sm2 0.250 0.000 0.000

Results
As for the density: 9.8 g/cm³. Its energy of formation from the pure elements is -0.80 eV/atom. The space group is No. 72. The calculation puts the total energy at -5.96 eV per atom.

---

(2)
Cs2BeZnI6 | PBE | relaxed

Cell: 8.352 8.352 8.420 Å, 60.27 60.27 90.00°
Fractional coordinates of all 10 atoms:
Cs1 0.750 0.250 0.500
Cs2 0.250 0.750 0.500
I1 0.209 0.209 0.581
I2 0.719 0.281 0.000
I3 0.281 0.719 0.000
I4 0.791 0.791 0.419
I5 0.281 0.281 0.000
I6 0.719 0.719 0.000
Be1 0.500 0.500 0.000
Zn1 0.000 0.000 0.000

Results
For the formation energy (no corrections), the calculation gives -0.798 eV per atom. As for the density: 4.4 g/cm³. The space group is No. 139. The calculation puts the total energy at -2.40 eV per atom.

---

(3)
LiNiSCl2 | PBE | relaxed

Cell: 4.878 4.878 4.319 Å, 90.00 90.00 90.00°
Site moments in Bohr magnetons follow the coordinates.
Fractional coordinates of all 5 atoms:
S1 0.000 0.000 0.500  0.46
Ni1 0.000 0.000 0.000  0.62
Cl1 0.500 0.000 0.000  0.07
Cl2 0.000 0.500 0.000  0.07
Li1 0.500 0.500 0.500  0.00

Results
For the formation energy (no corrections), the calculation gives -0.481 eV per atom. Its energy above the most stable polymorph in this dataset is 0 meV/atom. As for the density: 2.7 g/cm³. The space group is No. 123. The calculation puts the total energy at -3.58 eV per atom.